No. 1
Compound: Hf3IrN
Source: Alexandria via LeMat-Bulk
Functional: PBE
Structure: relaxed

Lattice parameters (Å, degrees): 4.3612 4.3612 4.3612 90.00 90.00 90.00
Last column: nearest neighbours and their distance in Å.
Space group Pm-3m (No. 221)
One atom of each set of equivalent atoms:
Hf: 0.0000 0.0000 0.5000 (multiplicity 3)  2 N 2.18
Ir: 0.5000 0.5000 0.5000 (multiplicity 1)  12 Hf 3.08
N: 0.0000 0.0000 0.0000 (multiplicity 1)  6 Hf 2.18

Values from the calculation:
Its energy is -10.45 eV/atom. The value obtained for the formation energy from raw total energies is -1.04 eV per atom.


No. 2
Compound: Hf3IrN
Source: Alexandria via LeMat-Bulk
Functional: PBE
Structure: relaxed

Lattice parameters (Å, degrees): 4.4492 4.4492 6.1203 90.00 90.00 90.00
Last column: nearest neighbours and their distance in Å.
Space group P4mm (No. 99)
One atom of each set of equivalent atoms:
Hf: 0.0000 0.0000 0.0000 (multiplicity 1)  1 Ir 2.55
Hf: 0.0000 0.5000 0.6392 (multiplicity 2)  2 N 2.24
Ir: 0.0000 0.0000 0.4161 (multiplicity 1)  5 Hf 2.55-2.61
N: 0.5000 0.5000 0.6765 (multiplicity 1)  4 Hf 2.24

Values from the calculation:
Its energy is -9.40 eV/atom. The value obtained for the formation energy from raw total energies is 0.01 eV per atom.


No. 3
Compound: HfIrN2
Source: Alexandria via LeMat-Bulk
Functional: PBE
Structure: relaxed

Lattice parameters (Å, degrees): 3.2069 3.2069 18.3533 90.00 90.00 120.00
Last column: nearest neighbours and their distance in Å.
Space group R-3m (No. 166, hexagonal axes)
One atom of each set of equivalent atoms:
Hf: 0.0000 0.0000 0.0000 (multiplicity 3)  6 N 2.17
Ir: 0.0000 0.0000 0.5000 (multiplicity 3)  2 N 1.94
N: 0.0000 0.0000 0.3945 (multiplicity 6)  1 Ir 1.94, 3 Hf 2.17

Values from the calculation:
The calculation puts the energy relative to the lowest polymorph listed for this composition at 0.0 kJ per mole of atoms. Its energy is -9.27 eV/atom. The value obtained for the formation energy from raw total energies is -0.40 eV per atom.


No. 4
Compound: Hf3IrN
Source: Alexandria via LeMat-Bulk
Functional: PBE
Structure: relaxed

Lattice parameters (Å, degrees): 11.4570 11.4570 11.4570 90.00 90.00 90.00
Last column: nearest neighbours and their distance in Å.
Space group Fd-3m (No. 227, origin choice 2)
One atom of each set of equivalent atoms:
Hf: 0.0752 0.3750 0.3750 (multiplicity 48)  2 N 2.20
Ir: 0.0000 0.0000 0.5000 (multiplicity 16)  6 Hf 2.85
N: 0.0000 0.0000 0.0000 (multiplicity 16)  6 Hf 2.20

Values from the calculation:
Its energy is -9.78 eV/atom. The value obtained for the formation energy from raw total energies is -0.37 eV per atom.


No. 5
Compound: Hf3IrN
Source: Alexandria via LeMat-Bulk
Functional: PBE
Structure: relaxed

Lattice parameters (Å, degrees): 3.2351 6.4768 8.1975 89.86 89.94 75.54
Last column: nearest neighbours and their distance in Å.
Space group P-1 (No. 2)
One atom of each set of equivalent atoms:
Hf: 0.0230 0.4555 0.2320 (multiplicity 2)  1 N 2.36
Hf: 0.2513 0.9953 0.8110 (multiplicity 2)  2 N 2.25
Hf: 0.3637 0.7725 0.4700 (multiplicity 2)  3 N 2.25-2.35
Ir: 0.3960 0.7105 0.0485 (multiplicity 2)  5 Hf 2.64-2.73, 1 Ir 2.76
N: 0.1917 0.1177 0.3591 (multiplicity 2)  6 Hf 2.25-2.36

Values from the calculation:
Its energy is -10.52 eV/atom. The value obtained for the formation energy from raw total energies is -1.11 eV per atom.


No. 6
Compound: Hf4Ir2N
Source: Alexandria via LeMat-Bulk
Functional: PBE
Structure: relaxed

Lattice parameters (Å, degrees): 4.3243 4.3243 13.4660 90.00 90.00 90.00
Last column: nearest neighbours and their distance in Å.
Space group I4/mmm (No. 139)
One atom of each set of equivalent atoms:
Hf: 0.0000 0.0000 0.1785 (multiplicity 4)  1 N 2.40, 1 Ir 2.55
Hf: 0.0000 0.5000 0.0000 (multiplicity 4)  2 N 2.16
Ir: 0.0000 0.0000 0.3680 (multiplicity 4)  5 Hf 2.55-2.80
N: 0.0000 0.0000 0.0000 (multiplicity 2)  6 Hf 2.16-2.40

Values from the calculation:
The calculation puts the energy relative to the lowest polymorph listed for this composition at 0.0 kJ per mole of atoms. Its energy is -10.35 eV/atom. The value obtained for the formation energy from raw total energies is -0.94 eV per atom.


No. 7
Compound: HfIr2N
Source: Alexandria via LeMat-Bulk
Functional: PBE
Structure: relaxed

Lattice parameters (Å, degrees): 5.6050 5.6050 8.7455 90.00 90.00 90.00
Last column: nearest neighbours and their distance in Å.
Space group I-42d (No. 122)
One atom of each set of equivalent atoms:
Hf: 0.0000 0.0000 0.0000 (multiplicity 4)  4 Ir 2.68
Ir: 0.1430 0.2500 0.6250 (multiplicity 8)  2 N 1.95
N: 0.0000 0.0000 0.5000 (multiplicity 4)  4 Ir 1.95

Values from the calculation:
Its energy is -8.94 eV/atom. The value obtained for the formation energy from raw total energies is 0.06 eV per atom.


No. 8
Compound: Hf3IrN
Source: Alexandria via LeMat-Bulk
Functional: PBE
Structure: relaxed

Lattice parameters (Å, degrees): 13.7232 4.4227 6.2108 90.00 112.00 90.00
Last column: nearest neighbours and their distance in Å.
Space group C2/m (No. 12)
One atom of each set of equivalent atoms:
Hf: 0.0454 0.0000 0.2706 (multiplicity 4)  2 N 2.24
Hf: 0.1099 0.5000 0.7097 (multiplicity 4)  2 N 2.18-2.20
Hf: 0.2034 0.5000 0.2843 (multiplicity 4)  1 N 2.14
Ir: 0.1687 0.0000 0.9999 (multiplicity 4)  8 Hf 2.76-2.92
N: 0.0567 0.5000 0.3313 (multiplicity 4)  5 Hf 2.14-2.24

Values from the calculation:
Its energy is -10.45 eV/atom. The value obtained for the formation energy from raw total energies is -1.04 eV per atom.


No. 9
Compound: Hf3IrN
Source: Alexandria via LeMat-Bulk
Functional: PBE
Structure: relaxed

Lattice parameters (Å, degrees): 14.8299 3.1956 8.3244 90.00 122.77 90.00
Last column: nearest neighbours and their distance in Å.
Space group C2/m (No. 12)
One atom of each set of equivalent atoms:
Hf: 0.0000 0.0000 0.0000 (multiplicity 2)  2 N 2.51
Hf: 0.0000 0.0000 0.5000 (multiplicity 2)  4 Ir 2.69
Hf: 0.1460 0.5000 0.4168 (multiplicity 4)  3 N 2.20-2.36
Hf: 0.2452 0.5000 0.1768 (multiplicity 4)  2 N 2.23
Ir: 0.0854 0.5000 0.8093 (multiplicity 4)  8 Hf 2.67-2.98
N: 0.1881 0.0000 0.2876 (multiplicity 4)  5 Hf 2.20-2.36

Values from the calculation:
Its energy is -10.48 eV/atom. The value obtained for the formation energy from raw total energies is -1.07 eV per atom.


No. 10
Compound: Hf3IrN
Source: Alexandria via LeMat-Bulk
Functional: PBE
Structure: relaxed

Lattice parameters (Å, degrees): 14.9674 3.1555 7.5666 90.00 92.30 90.00
Last column: nearest neighbours and their distance in Å.
Space group C2/m (No. 12)
One atom of each set of equivalent atoms:
Hf: 0.0125 0.0000 0.2153 (multiplicity 4)  2 N 2.15
Hf: 0.1512 0.5000 0.9703 (multiplicity 4)  1 N 2.38
Hf: 0.1645 0.0000 0.6020 (multiplicity 4)  2 N 2.23
Ir: 0.1959 0.0000 0.2522 (multiplicity 4)  7 Hf 2.71-2.90
N: 0.0713 0.5000 0.6912 (multiplicity 4)  5 Hf 2.15-2.38

Values from the calculation:
Its energy is -10.31 eV/atom. The value obtained for the formation energy from raw total energies is -0.90 eV per atom.